This record from the Alexandria database describes crystalline AcH2F6 at its relaxed geometry. The functional is PBE.

Raw total energy in eV/atom: -5.00
Excess energy over the best structure of this formula in the dataset in meV per atom: 0
Magnetic moment in Bohr magnetons per cell: 2.3

Structure (CIF):
```
data_AcH2F6
_chemical_formula_sum 'Ac2 H4 F12'
_space_group_name_H-M_alt 'C 1 2/m 1'
_space_group_IT_number 12
_cell_length_a 11.579
_cell_length_b 4.506
_cell_length_c 4.975
_cell_angle_alpha 90.00
_cell_angle_beta 109.94
_cell_angle_gamma 90.00
loop_
_space_group_symop_operation_xyz
'x,y,z'
'-x,-y,-z'
'-x,y,-z'
'x,-y,z'
'x+1/2,y+1/2,z'
'-x+1/2,-y+1/2,-z'
'-x+1/2,y+1/2,-z'
'x+1/2,-y+1/2,z'
loop_
_atom_site_label
_atom_site_type_symbol
_atom_site_fract_x
_atom_site_fract_y
_atom_site_fract_z
_atom_site_occupancy
Ac1 Ac 0.000 0.000 0.000 1
H1 H 0.187 0.500 0.839 1
F1 F 0.088 0.500 0.900 1
F2 F 0.090 0.000 0.557 1
F3 F 0.232 0.000 0.210 1
```